Crystalline KMgUF6 at its relaxed geometry. Source: the Alexandria database, functional PBE.

## Properties
- energy relative to the elements, uncorrected (meV/atom) = -3270.1
- VASP energy (eV/atom) = -6.071

Structure (extended XYZ):
```
18
Lattice="5.970 0.000 0.000 -2.985 5.170 0.000 0.000 0.000 10.495" Properties=species:S:1:pos:R:3 pbc="T T T"
K 0.000 0.000 0.000
K 0.000 0.000 5.247
Mg 0.000 3.447 2.624
Mg 2.985 1.723 7.871
U 0.000 3.447 7.871
U 2.985 1.723 2.624
F -0.964 2.051 1.512
F -1.690 3.309 3.736
F 0.964 2.051 3.736
F -0.726 4.979 1.512
F 2.258 0.191 6.759
F 1.294 1.860 8.983
F 1.690 3.309 1.512
F 0.726 4.979 3.736
F 3.711 0.191 8.983
F 2.021 3.119 6.759
F 4.675 1.860 6.759
F 3.949 3.119 8.983
```

***

Crystalline Ce3Zn2Pd6 at its relaxed geometry. Source: the Alexandria database, functional PBE.

## Properties
- ΔE_f (eV/atom) = -0.6705
- VASP energy (eV/atom) = -5.353

Structure (extended XYZ):
```
22
Lattice="-4.777 4.777 4.777 4.777 -4.777 4.777 4.777 4.777 -4.777" Properties=species:S:1:pos:R:3 pbc="T T T"
Ce 2.774 0.000 0.000
Ce 6.779 0.000 0.000
Ce 0.000 2.774 0.000
Ce 0.000 0.000 2.774
Ce 0.000 6.779 0.000
Ce 0.000 0.000 6.779
Zn 2.388 2.388 -2.388
Zn 2.388 -2.388 2.388
Zn -2.388 2.388 2.388
Zn 2.388 2.388 2.388
Pd 4.777 1.536 -1.536
Pd 4.777 -1.536 1.536
Pd 4.777 1.536 1.536
Pd 1.536 4.777 -1.536
Pd 3.241 3.241 0.000
Pd 1.536 -1.536 4.777
Pd 3.241 0.000 3.241
Pd -1.536 4.777 1.536
Pd 1.536 4.777 1.536
Pd -1.536 1.536 4.777
Pd 1.536 1.536 4.777
Pd 0.000 3.241 3.241
```

***

Crystalline Zr4CdTc at its relaxed geometry. Source: the Alexandria database, functional PBE.

## Properties
- energy above the most stable polymorph in this dataset (meV per atom) = 0
- ΔE_f (eV/atom) = -0.1939
- VASP energy (eV/atom) = -7.773

Structure (extended XYZ):
```
6
Lattice="3.301 0.000 0.000 0.000 3.301 0.000 0.000 0.000 11.664" Properties=species:S:1:pos:R:3 pbc="T T T"
Zr 0.000 0.000 1.609
Zr 0.000 0.000 10.054
Zr 1.651 1.651 3.714
Zr 1.651 1.651 7.949
Cd 0.000 0.000 5.832
Tc 1.651 1.651 0.000
```

***

Crystalline Cd3Mo at its relaxed geometry. Source: the Alexandria database, functional PBE.

## Properties
- energy above the most stable polymorph in this dataset (meV per atom) = 143
- ΔE_f (eV/atom) = 0.4212
- VASP energy (eV/atom) = -2.973

Structure (extended XYZ):
```
8
Lattice="-2.099 2.099 8.834 2.099 -2.099 8.834 2.099 2.099 -8.834" Properties=species:S:1:pos:R:3 pbc="T T T"
Cd 2.099 0.000 0.000
Cd 0.000 0.000 2.256
Cd 2.099 0.000 4.417
Cd 0.000 2.099 0.000
Cd 0.000 2.099 4.417
Cd 0.000 0.000 15.412
Mo 0.000 0.000 6.750
Mo 0.000 0.000 10.918
```

***

Crystalline PmScBeCo at its relaxed geometry. Source: the Alexandria database, functional PBE.

## Properties
- ΔE_f (eV/atom) = 0.0107
- VASP energy (eV/atom) = -5.468

Structure (extended XYZ):
```
4
Lattice="0.000 3.318 3.318 3.318 0.000 3.318 3.318 3.318 0.000" Properties=species:S:1:pos:R:3 pbc="T T T"
Pm 0.000 0.000 0.000
Sc 3.318 3.318 3.318
Be 4.977 4.977 4.977
Co 1.659 1.659 1.659
```

***

Crystalline Sr2Li3MgCd12 at its relaxed geometry. Source: the Alexandria database, functional PBE.

## Properties
- ΔE_f (eV/atom) = -0.1009
- VASP energy (eV/atom) = -1.305

Structure (extended XYZ):
```
18
Lattice="5.196 3.000 4.817 -5.196 3.000 4.817 0.000 -6.000 4.817" Properties=species:S:1:pos:R:3 pbc="T T T"
Sr 0.000 0.000 3.424
Sr 0.000 0.000 11.026
Li -2.598 -1.500 4.817
Li -2.598 1.500 9.633
Li 0.000 3.000 4.817
Mg 0.000 0.000 7.225
Cd 0.000 -3.449 3.826
Cd -2.987 1.725 3.826
Cd -2.445 -1.412 7.806
Cd 0.000 -2.824 6.643
Cd -2.445 1.412 6.643
Cd -2.987 -1.725 10.624
Cd 2.987 1.725 3.826
Cd 2.445 -1.412 7.806
Cd 0.000 2.824 7.806
Cd 2.445 1.412 6.643
Cd 2.987 -1.725 10.624
Cd 0.000 3.449 10.624
```

***

Crystalline Ce2Ag3Au2 at its relaxed geometry. Source: the Alexandria database, functional PBE.

## Properties
- ΔE_f (eV/atom) = -0.3058
- VASP energy (eV/atom) = -4.160

Structure (extended XYZ):
```
7
Lattice="2.331 -10.222 0.000 2.331 10.222 0.000 0.000 0.000 3.263" Properties=species:S:1:pos:R:3 pbc="T T T"
Ce 2.331 7.077 0.000
Ce 2.331 -7.077 0.000
Ag 0.000 0.000 0.000
Ag 2.331 1.363 1.631
Ag 2.331 -1.363 1.631
Au 2.331 4.283 1.631
Au 2.331 -4.283 1.631
```

***

Crystalline La2SmBi at its relaxed geometry. Source: the Alexandria database, functional PBE.

## Properties
- energy above the most stable polymorph in this dataset (meV per atom) = 225
- ΔE_f (eV/atom) = -0.2544
- VASP energy (eV/atom) = -4.868

Structure (extended XYZ):
```
4
Lattice="2.106 1.216 9.902 -2.106 1.216 9.902 0.000 -2.432 9.902" Properties=species:S:1:pos:R:3 pbc="T T T"
La 0.000 0.000 0.000
La 0.000 0.000 5.645
Sm 0.000 0.000 22.628
Bi 0.000 0.000 17.675
```

***

no.,N(E_F) (states/eV/cell)
1,14.40
2,36.78
3,3.25
4,6.75
5,2.69
6,6.20
7,12.28
8,5.45